[1]
Crystalline Sc2NiRuCl at its relaxed geometry, computed with PBE.

abc: 4.7363 3.9892 4.7363
angles: 90.00 90.00 90.00
Closest atoms and distances in Å follow each position.
Atoms (fractional coordinates):
Sc: 0.5000 0.0000 0.0000  2 Cl 2.37
Sc: 0.0000 0.0000 0.5000  2 Cl 2.37
Ru: 0.5000 0.5000 0.5000  8 Sc 3.10, 4 Ni 3.35
Ni: 0.0000 0.5000 0.0000  2 Cl 1.99
Cl: 0.0000 0.0000 0.0000  2 Ni 1.99

Summary:
- Symmetry: P4/mmm

=====

[2]
Crystalline Sm6NiRu2Cl3 at its relaxed geometry, computed with PBE.

abc: 6.8761 6.8761 7.9164
angles: 98.32 98.32 119.99
Closest atoms and distances in Å follow each position.
Atoms (fractional coordinates):
Ru: 0.3335 0.6665 0.0000  6 Sm 2.76-2.77
Ru: 0.6665 0.3335 0.0000  6 Sm 2.76-2.77
Ni: 0.0000 0.0000 0.0000  6 Sm 2.78
Cl: 0.1688 0.8312 0.5000  6 Sm 3.18-3.22
Cl: 0.8312 0.1688 0.5000  6 Sm 3.18-3.22
Cl: 0.5000 0.5000 0.5000  6 Sm 3.19-3.21
Sm: 0.5967 0.9316 0.7949  2 Ru 2.76-2.77, 1 Ni 2.78
Sm: 0.2666 0.2666 0.7951  2 Ru 2.76, 1 Ni 2.78
Sm: 0.0684 0.4033 0.2051  2 Ru 2.76-2.77, 1 Ni 2.78
Sm: 0.7334 0.7334 0.2049  2 Ru 2.76, 1 Ni 2.78
Sm: 0.9316 0.5967 0.7949  2 Ru 2.76-2.77, 1 Ni 2.78
Sm: 0.4033 0.0684 0.2051  2 Ru 2.76-2.77, 1 Ni 2.78

Summary:
- Symmetry: C2/m

=====

[3]
Crystalline Sm6Ni2RuCl3 at its relaxed geometry, computed with PBE.

abc: 3.9956 8.7800 9.6263
angles: 110.86 101.98 90.00
Closest atoms and distances in Å follow each position.
Atoms (fractional coordinates):
Sm: 0.3445 0.8849 0.6890  1 Ru 2.73, 2 Ni 2.78
Sm: 0.3258 0.4402 0.6517  3 Ni 2.73
Sm: 0.6742 0.5598 0.3483  3 Ni 2.73
Sm: 0.0107 0.2249 0.0213  2 Ru 2.76, 1 Ni 2.81
Sm: 0.9893 0.7751 0.9787  2 Ru 2.76, 1 Ni 2.81
Sm: 0.6555 0.1151 0.3110  1 Ru 2.73, 2 Ni 2.78
Ni: 0.8292 0.6550 0.6584  6 Sm 2.73-2.81
Ni: 0.1708 0.3450 0.3416  6 Sm 2.73-2.81
Ru: 0.5000 0.0000 0.0000  6 Sm 2.73-2.76
Cl: 0.5000 0.5000 0.0000  6 Sm 3.13-3.20
Cl: 0.8343 0.1685 0.6687  6 Sm 3.16-3.25
Cl: 0.1657 0.8315 0.3313  6 Sm 3.16-3.25

Summary:
- Symmetry: C2/m

=====

[4]
Crystalline Ta2NiRuCl at its relaxed geometry, computed with PBE.

abc: 4.4698 4.2716 4.4698
angles: 90.00 90.00 90.00
Closest atoms and distances in Å follow each position.
Atoms (fractional coordinates):
Ta: 0.0000 0.0000 0.5000  2 Cl 2.23
Ta: 0.5000 0.0000 0.0000  2 Cl 2.23
Ni: 0.5000 0.5000 0.5000  8 Ta 3.09, 4 Ru 3.16
Ru: 0.0000 0.5000 0.0000  2 Cl 2.14
Cl: 0.0000 0.0000 0.0000  2 Ru 2.14, 4 Ta 2.23

Summary:
- Symmetry: P4/mmm

=====

[5]
Crystalline VNiRu2Cl at its relaxed geometry, computed with PBE.

abc: 4.3563 4.0392 4.3563
angles: 90.00 90.00 90.00
Closest atoms and distances in Å follow each position.
Atoms (fractional coordinates):
Cl: 0.0000 0.0000 0.0000  2 Ni 2.02, 4 Ru 2.18
Ru: 0.0000 0.0000 0.5000  2 Cl 2.18
Ru: 0.5000 0.0000 0.0000  2 Cl 2.18
Ni: 0.0000 0.5000 0.0000  2 Cl 2.02
V: 0.5000 0.5000 0.5000  8 Ru 2.97, 4 Ni 3.08

Summary:
- Symmetry: P4/mmm

=====

[6]
Crystalline NiS2Cl at its relaxed geometry, computed with PBE.

abc: 4.4209 4.4209 4.4209
angles: 60.00 60.00 60.00
Closest atoms and distances in Å follow each position.
Atoms (fractional coordinates):
S: 0.7500 0.7500 0.7500  4 Cl 2.71, 4 Ni 2.71
S: 0.2500 0.2500 0.2500  4 Ni 2.71, 4 Cl 2.71
Cl: 0.0000 0.0000 0.0000  8 S 2.71
Ni: 0.5000 0.5000 0.5000  8 S 2.71

Summary:
- Symmetry: Fm-3m

=====

[7]
Crystalline Ni2S3Cl at its relaxed geometry, computed with PBE.

abc: 6.8393 6.8296 5.4133
angles: 90.00 90.96 119.95
Closest atoms and distances in Å follow each position.
Atoms (fractional coordinates):
S: 0.1649 0.8301 0.8014  3 Ni 2.24-2.26
S: 0.3398 0.1699 0.1977  3 Ni 2.24-2.26
S: 0.8351 0.1699 0.1986  3 Ni 2.24-2.26
S: 0.8351 0.6652 0.1986  3 Ni 2.24-2.26
S: 0.1649 0.3348 0.8014  3 Ni 2.24-2.26
S: 0.6602 0.8301 0.8023  3 Ni 2.24-2.26
Ni: 0.0000 0.5000 0.0000  4 S 2.24
Ni: 0.0000 0.0000 0.0000  6 S 2.26
Ni: 0.5000 0.5000 0.0000  4 S 2.24
Ni: 0.5000 0.0000 0.0000  4 S 2.24
Cl: 0.3374 0.6687 0.2889  3 Ni 2.51-2.52
Cl: 0.6626 0.3313 0.7111  3 Ni 2.51-2.52

Summary:
- Symmetry: C2/m

=====

[8]
Crystalline Ni2S12Cl5 at its relaxed geometry, computed with PBE.

abc: 6.7823 7.7504 24.2385
angles: 141.51 90.00 115.95
Closest atoms and distances in Å follow each position.
Atoms (fractional coordinates):
S: 0.5291 0.5787 0.4774  2 S 2.05-2.12
S: 0.5298 0.0597 0.4276  2 S 2.05
S: 0.9762 0.4432 0.9415  2 S 2.04-2.18
S: 0.0496 0.5787 0.4774  2 S 2.05-2.12
S: 0.5330 0.5568 0.0585  2 S 2.04-2.18
S: 0.9494 0.8987 0.1478  2 S 2.04
S: 0.9504 0.4213 0.5226  2 S 2.05-2.12
S: 0.0506 0.1013 0.8522  2 S 2.04
S: 0.4702 0.9403 0.5724  2 S 2.05
S: 0.0238 0.5568 0.0585  2 S 2.04-2.18
S: 0.4709 0.4213 0.5226  2 S 2.05-2.12
S: 0.4670 0.4432 0.9415  2 S 2.04-2.18
Cl: 0.3300 0.6600 0.8711  2 Ni 2.30
Cl: 0.0000 0.0000 0.5000  4 S 3.04
Cl: 0.6700 0.3400 0.1289  2 Ni 2.30
Cl: 0.1790 0.3579 0.1283  2 Ni 2.31
Cl: 0.8210 0.6421 0.8717  2 Ni 2.31
Ni: 0.2538 0.0000 0.0000  4 Cl 2.30-2.31
Ni: 0.7462 0.0000 0.0000  4 Cl 2.30-2.31

Summary:
- Symmetry: C2/m

=====

[9]
Crystalline NiS2Cl at its relaxed geometry, computed with PBE.

abc: 7.2232 7.2232 7.2232
angles: 27.70 27.70 27.70
Closest atoms and distances in Å follow each position.
Atoms (fractional coordinates):
S: 0.1131 0.1131 0.1131  3 Ni 2.29, 1 Cl 2.36
S: 0.8869 0.8869 0.8869  3 Ni 2.29, 1 Cl 2.36
Ni: 0.5000 0.5000 0.5000  6 S 2.29
Cl: 0.0000 0.0000 0.0000  2 S 2.36

Summary:
- Symmetry: R-3m

=====

[10]
Crystalline Ni2SCl at its relaxed geometry, computed with PBE.

abc: 3.6752 3.6752 6.2292
angles: 72.84 72.84 60.00
Closest atoms and distances in Å follow each position.
Atoms (fractional coordinates):
S: 0.5000 0.5000 0.5000  6 Ni 2.24
Cl: 0.0000 0.0000 0.0000  2 Ni 2.22
Ni: 0.1261 0.1261 0.6218  1 Cl 2.22, 3 S 2.24
Ni: 0.8739 0.8739 0.3782  1 Cl 2.22, 3 S 2.24

Summary:
- Symmetry: R-3m

=====

[11]
Crystalline NiS2Cl at its relaxed geometry, computed with PBE.

abc: 11.8361 11.8361 11.8361
angles: 13.15 13.15 13.15
Closest atoms and distances in Å follow each position.
Atoms (fractional coordinates):
S: 0.9395 0.9395 0.9395  1 Ni 2.13
S: 0.0605 0.0605 0.0605  1 Ni 2.13
Cl: 0.5000 0.5000 0.5000  6 Cl 2.71
Ni: 0.0000 0.0000 0.0000  2 S 2.13

Summary:
- Symmetry: R-3m

=====

[12]
Crystalline NiS2Cl6 at its relaxed geometry, computed with PBE.

abc: 9.7219 8.5375 8.5375
angles: 85.58 106.41 106.41
Closest atoms and distances in Å follow each position.
Atoms (fractional coordinates):
Cl: 0.3830 0.1289 0.1178  1 Ni 2.11
Cl: 0.6170 0.8711 0.8822  1 Ni 2.11
Cl: 0.0831 0.2433 0.7592  1 Ni 2.12
Cl: 0.3574 0.8269 0.5421  1 S 2.09
Cl: 0.1426 0.4579 0.1731  1 S 2.09
Cl: 0.5831 0.7592 0.2433  1 Ni 2.12
Cl: 0.1170 0.8822 0.8711  1 Ni 2.11
Cl: 0.4169 0.2408 0.7567  1 Ni 2.12
Cl: 0.8574 0.5421 0.8269  1 S 2.09
Cl: 0.8830 0.1178 0.1289  1 Ni 2.11
Cl: 0.9169 0.7567 0.2408  1 Ni 2.12
Cl: 0.6426 0.1731 0.4579  1 S 2.09
S: 0.7284 0.5516 0.5871  1 S 1.94, 1 Cl 2.09
S: 0.2716 0.4484 0.4129  1 S 1.94, 1 Cl 2.09
S: 0.2284 0.5871 0.5516  1 S 1.94, 1 Cl 2.09
S: 0.7716 0.4129 0.4484  1 S 1.94, 1 Cl 2.09
Ni: 0.2500 0.1253 0.8747  4 Cl 2.11-2.12
Ni: 0.7500 0.8747 0.1253  4 Cl 2.11-2.12

Summary:
- Symmetry: C2/c

=====

| no. | size of the total moment (μB per cell) | raw total energy (eV per atom) |
| --- | --- | --- |
| 1 | 0.00 | -5.934 |
| 2 | 0.00 | -5.772 |
| 3 | 0.00 | -5.487 |
| 4 | 0.66 | -7.154 |
| 5 | 0.00 | -5.956 |
| 6 | 0.59 | -3.089 |
| 7 | 2.93 | -4.531 |
| 8 | 3.61 | -3.763 |
| 9 | 0.00 | -4.140 |
| 10 | 0.00 | -4.693 |
| 11 | 0.00 | -3.561 |
| 12 | 3.95 | -2.972 |